Crystalline FeCuRu2 at its relaxed geometry, computed with PBE-GGA.

The structure belongs to space group Pmm2 (No. 25); the cell edges are 2.695, 3.744 and 5.213 Å and the angles 90.00°, 90.00° and 90.00°. The distinct sites, in fractional coordinates, are Fe at (0.000, 0.000, 0.000), Cu at (0.500, 0.500, 0.768), Ru at (0.000, 0.000, 0.501) and Ru at (0.500, 0.500, 0.268).

The formation energy from the elements comes out at 170 meV per atom. Its total magnetization is 2.852 μB/cell.



Crystalline FeCu2Ru at its relaxed geometry, computed with PBE-GGA.

The structure belongs to space group F-43m (No. 216); the cell edges are 5.887, 5.887 and 5.887 Å and the angles 90.00°, 90.00° and 90.00°. The distinct sites, in fractional coordinates, are Fe at (0.000, 0.000, 0.000), Cu at (0.000, 0.000, 0.500), Cu at (0.250, 0.250, 0.750) and Ru at (0.250, 0.250, 0.250).

The formation energy from the elements comes out at 243 meV per atom. Its total magnetization is 15.197 μB/cell. The excess energy over the best structure of this formula in the dataset is 0.0914 eV per atom.



Crystalline FeCuRu2 at its relaxed geometry, computed with PBE-GGA.

The structure belongs to space group P4mm (No. 99); the cell edges are 2.690, 2.690 and 7.289 Å and the angles 90.00°, 90.00° and 90.00°. The distinct sites, in fractional coordinates, are Fe at (0.000, 0.000, 0.000), Cu at (0.500, 0.500, 0.765), Ru at (0.000, 0.000, 0.505) and Ru at (0.500, 0.500, 0.260).

The formation energy from the elements comes out at 185 meV per atom. Its total magnetization is 2.843 μB/cell.



Crystalline FeCu2Ru2 at its relaxed geometry, computed with PBE-GGA.

The structure belongs to space group I4/mmm (No. 139); the cell edges are 3.228, 3.228 and 13.269 Å and the angles 90.00°, 90.00° and 90.00°. The distinct sites, in fractional coordinates, are Fe at (0.000, 0.000, 0.000), Cu at (0.000, 0.500, 0.250) and Ru at (0.000, 0.000, 0.405).

The formation energy from the elements comes out at 568 meV per atom. Its total magnetization is 4.610 μB/cell. The excess energy over the best structure of this formula in the dataset is 0.0000 eV per atom.



Ordered total DFT energy (no corrections) results: -7.608; -6.239; -7.592; -6.474; unit eV/atom.